Record 1
Density functional theory data (PBE) for an optimized crystal structure of NbCd2Os.

a b c (Å): 4.646 4.646 4.646
angles (deg): 60.00 60.00 60.00
Atoms (fractional coordinates):
Nb  0.000  0.000  0.000
Cd  0.250  0.250  0.250
Cd  0.750  0.750  0.750
Os  0.500  0.500  0.500

energy of formation	0.616	eV/atom
magnetization	0.00	μB per atom
energy	-5.166	eV per atom
calculated volume	17.7	Å³ per atom

Record 2
Density functional theory data (PBE) for an optimized crystal structure of NbCd3Os.

a b c (Å): 5.050 5.050 5.050
angles (deg): 90.00 90.00 90.00
Atoms (fractional coordinates):
Nb  0.000  0.000  0.000
Cd  0.000  0.500  0.500
Cd  0.500  0.000  0.500
Cd  0.500  0.500  0.000
Os  0.500  0.500  0.500

energy of formation	1.545	eV/atom
magnetization	0.00	μB per atom
energy	-3.264	eV per atom
calculated volume	25.8	Å³ per atom

Record 3
Density functional theory data (PBE) for an optimized crystal structure of NbCd2Os.

a b c (Å): 6.096 6.096 6.096
angles (deg): 101.03 101.03 128.13
Atoms (fractional coordinates):
Nb  0.000  0.000  0.000
Nb  0.750  0.250  0.500
Cd  0.144  0.625  0.019
Cd  0.375  0.394  0.519
Cd  0.606  0.125  0.981
Cd  0.875  0.856  0.481
Os  0.250  0.750  0.500
Os  0.500  0.500  0.000

energy of formation	0.951	eV/atom
magnetization	0.24	μB per atom
energy	-4.831	eV per atom
calculated volume	20.0	Å³ per atom

Record 4
Density functional theory data (PBE) for an optimized crystal structure of NbCdOs3.

a b c (Å): 4.700 4.700 4.700
angles (deg): 90.00 90.00 90.00
Atoms (fractional coordinates):
Nb  0.000  0.000  0.000
Cd  0.500  0.500  0.500
Os  0.000  0.500  0.500
Os  0.500  0.000  0.500
Os  0.500  0.500  0.000

energy of formation	2.806	eV/atom
magnetization	0.00	μB per atom
energy	-6.129	eV per atom
calculated volume	20.8	Å³ per atom

Record 5
Density functional theory data (PBE) for an optimized crystal structure of NbCdOs3.

a b c (Å): 4.778 4.778 4.778
angles (deg): 90.00 90.00 90.00
Atoms (fractional coordinates):
Nb  0.000  0.000  0.000
Cd  0.500  0.500  0.500
Os  0.000  0.000  0.500
Os  0.000  0.500  0.000
Os  0.500  0.000  0.000

energy of formation	2.089	eV/atom
magnetization	0.19	μB per atom
energy	-6.846	eV per atom
calculated volume	21.8	Å³ per atom

Record 6
Density functional theory data (PBE) for an optimized crystal structure of NbCd3Os.

a b c (Å): 5.293 5.293 5.293
angles (deg): 90.00 90.00 90.00
Atoms (fractional coordinates):
Nb  0.000  0.000  0.000
Cd  0.000  0.000  0.500
Cd  0.000  0.500  0.000
Cd  0.500  0.000  0.000
Os  0.500  0.500  0.500

energy of formation	2.174	eV/atom
magnetization	0.54	μB per atom
energy	-2.635	eV per atom
calculated volume	29.7	Å³ per atom

- What is the calculated volume in the fourth record?
  20.8 Å³ per atom